## LiScZn3 (PBE)

Data for LiScZn3 after structural relaxation.

Unit cell a=4.3770 b=4.3770 c=4.3770 alpha=90.00 beta=90.00 gamma=90.00
Positions (direct):
Li (0.0000, 0.0000, 0.0000)
Sc (0.5000, 0.5000, 0.5000)
Zn (0.0000, 0.0000, 0.5000)
Zn (0.0000, 0.5000, 0.0000)
Zn (0.5000, 0.0000, 0.0000)

Properties
As for the formation energy: 0.056 eV per atom. Its crystal system is cubic. As for the space group: Pm-3m (221). For the mass density, the calculation gives 4.9 g/cm³.